Entry 1:
The following is a DFT calculation (PBE-GGA) of a relaxed structure of ScAgSnRu.

Values from the calculation:
- formation enthalpy at 0 K (eV/f.u.) = -1.14
- DOS at the Fermi energy (states/eV/atom) = 0.55
- space-group type = F-43m

a = 4.669 Å, b = 4.669 Å, c = 4.669 Å
α = 60.00°, β = 60.00°, γ = 60.00°
Atoms (fractional coordinates):
Sc: 0.000 0.000 0.000
Ag: 0.250 0.250 0.250
Sn: 0.500 0.500 0.500
Ru: 0.750 0.750 0.750

=====

Entry 2:
The following is a DFT calculation (PBE-GGA) of a relaxed structure of AlAuI6.

Values from the calculation:
- E_form (uncorrected) (kJ per mole of atoms) = -25.5
- offset from the most stable computed form (kJ per mole of atoms) = 1.8
- space-group type = P-1

a = 6.370 Å, b = 7.631 Å, c = 8.562 Å
α = 65.26°, β = 70.29°, γ = 85.99°
Atoms (fractional coordinates):
Al: 0.000 0.000 0.000
Au: 0.500 0.500 0.000
I: 0.038 0.825 0.321
I: 0.277 0.358 0.850
I: 0.382 0.849 0.811
I: 0.618 0.151 0.189
I: 0.723 0.642 0.150
I: 0.962 0.175 0.679

=====

Entry 3:
The following is a DFT calculation (PBE-GGA) of a relaxed structure of Ta3H12Ir5.

Values from the calculation:
- DOS at the Fermi energy (states/eV/atom) = 0.57
- E_tot (eV per atom) = -5.754
- space-group type = Ia-3d

a = 9.575 Å, b = 9.575 Å, c = 9.575 Å
α = 109.47°, β = 109.47°, γ = 109.47°
Atoms (fractional coordinates):
Ta: 0.125 0.250 0.375
Ta: 0.125 0.375 0.750
Ta: 0.250 0.375 0.125
Ta: 0.250 0.875 0.625
Ta: 0.375 0.125 0.250
Ta: 0.375 0.750 0.125
Ta: 0.625 0.250 0.875
Ta: 0.625 0.875 0.750
Ta: 0.750 0.125 0.375
Ta: 0.750 0.625 0.875
Ta: 0.875 0.625 0.250
Ta: 0.875 0.750 0.625
H: 0.050 0.219 0.135
H: 0.050 0.331 0.916
H: 0.084 0.635 0.415
H: 0.084 0.950 0.669
H: 0.085 0.719 0.669
H: 0.085 0.865 0.416
H: 0.135 0.050 0.219
H: 0.135 0.584 0.915
H: 0.169 0.219 0.585
H: 0.169 0.450 0.584
H: 0.219 0.135 0.050
H: 0.219 0.585 0.169
H: 0.281 0.331 0.915
H: 0.281 0.450 0.365
H: 0.331 0.915 0.281
H: 0.331 0.916 0.050
H: 0.365 0.281 0.450
H: 0.365 0.585 0.916
H: 0.415 0.084 0.635
H: 0.415 0.831 0.781
H: 0.416 0.085 0.865
H: 0.416 0.831 0.550
H: 0.450 0.365 0.281
H: 0.450 0.584 0.169
H: 0.550 0.416 0.831
H: 0.550 0.635 0.719
H: 0.584 0.169 0.450
H: 0.584 0.915 0.135
H: 0.585 0.169 0.219
H: 0.585 0.916 0.365
H: 0.635 0.415 0.084
H: 0.635 0.719 0.550
H: 0.669 0.084 0.950
H: 0.669 0.085 0.719
H: 0.719 0.550 0.635
H: 0.719 0.669 0.085
H: 0.781 0.415 0.831
H: 0.781 0.865 0.950
H: 0.831 0.550 0.416
H: 0.831 0.781 0.415
H: 0.865 0.416 0.085
H: 0.865 0.950 0.781
H: 0.915 0.135 0.584
H: 0.915 0.281 0.331
H: 0.916 0.050 0.331
H: 0.916 0.365 0.585
H: 0.950 0.669 0.084
H: 0.950 0.781 0.865
Ir: 0.000 0.000 0.000
Ir: 0.000 0.000 0.500
Ir: 0.000 0.500 0.000
Ir: 0.000 0.500 0.500
Ir: 0.125 0.750 0.875
Ir: 0.125 0.875 0.250
Ir: 0.250 0.125 0.875
Ir: 0.250 0.625 0.375
Ir: 0.375 0.250 0.625
Ir: 0.375 0.625 0.750
Ir: 0.500 0.000 0.000
Ir: 0.500 0.000 0.500
Ir: 0.500 0.500 0.000
Ir: 0.500 0.500 0.500
Ir: 0.625 0.375 0.250
Ir: 0.625 0.750 0.375
Ir: 0.750 0.375 0.625
Ir: 0.750 0.875 0.125
Ir: 0.875 0.125 0.750
Ir: 0.875 0.250 0.125